A relaxed structure of TmThCoTc. Source: Alexandria via LeMat-Bulk, functional PBE-GGA.

Output
* ΔH_f (0 K): -0.134 eV/atom
* electronic total energy: -7.475 eV/atom
* space group: F-43m (216)

abc: 4.847 4.847 4.847
angles: 60.00 60.00 60.00
Fractional coordinates of all 4 atoms:
Tm: 0.000 0.000 0.000
Th: 0.500 0.500 0.500
Co: 0.250 0.250 0.250
Tc: 0.750 0.750 0.750